# 1
DFT (PBE-GGA) results for a relaxed structure of Rb5PO4F2.

## Properties
- space-group type = Amm2, No. 38
- ΔE_f (raw) (meV/atom) = -2275

```
Rb5PO4F2
1.0
-5.424 3.404 1.387
0.534 -3.505 -4.783
-2.792 -6.161 4.204
Rb O F P
5 4 2 1
direct
0.427 0.000 0.500 Rb
0.093 0.368 0.771 Rb
0.724 0.632 0.229 Rb
0.093 0.368 0.229 Rb
0.724 0.632 0.771 Rb
0.134 0.744 0.000 O
0.390 0.256 0.000 O
0.543 0.000 0.160 O
0.543 0.000 0.840 O
0.392 0.452 0.500 F
0.940 0.548 0.500 F
0.402 0.000 0.000 P
```

---

# 2
DFT (PBE-GGA) results for a relaxed structure of PmPaSb2.

## Properties
- space-group type = R-3m, No. 166
- ΔE_f (raw) (meV/atom) = -804

```
PmPaSb2
1.0
-2.037 3.434 1.888
-4.290 0.718 -0.768
-3.829 -2.779 6.090
Sb Pa Pm
2 1 1
direct
0.748 0.748 0.757 Sb
0.252 0.252 0.243 Sb
0.000 0.000 0.000 Pa
0.500 0.500 0.500 Pm
```

---

# 3
DFT (PBE-GGA) results for a relaxed structure of Th2Te3.

## Properties
- space-group type = R-3c, No. 167
- ΔE_f (raw) (meV/atom) = -1049

```
Th2Te3
1.0
7.766 0.000 0.000
3.883 6.726 0.000
3.883 2.242 7.364
Th Te
4 6
direct
0.335 0.335 0.995 Th
0.165 0.165 0.505 Th
0.665 0.665 0.005 Th
0.835 0.835 0.495 Th
0.923 0.250 0.250 Te
0.250 0.577 0.250 Te
0.750 0.423 0.750 Te
0.577 0.923 0.250 Te
0.423 0.077 0.750 Te
0.077 0.750 0.750 Te
```

---

# 4
DFT (PBE-GGA) results for a relaxed structure of Tb6YIn4.

## Properties
- space-group type = P-6m2, No. 187
- energy of formation from the pure elements (eV/atom) = -0.294

```
Tb6YIn4
1.0
-3.365 0.329 -1.448
-2.855 -8.550 4.690
-1.123 8.965 4.651
Tb In Y
6 4 1
direct
0.500 0.190 0.810 Tb
0.000 0.923 0.461 Tb
0.000 0.539 0.461 Tb
0.000 0.539 0.077 Tb
0.500 0.619 0.810 Tb
0.500 0.190 0.381 Tb
0.000 0.333 0.667 In
0.500 0.840 0.160 In
0.500 0.840 0.680 In
0.500 0.320 0.160 In
0.000 0.000 0.000 Y
```

---

# 5
DFT (PBE-GGA) results for a relaxed structure of AcCeSmTm.

## Properties
- space-group type = F-43m, No. 216
- energy of formation from the pure elements (eV/atom) = 0.198

```
AcCeSmTm
1.0
5.840 0.000 0.000
2.920 5.057 0.000
2.920 1.686 4.768
Tm Sm Ce Ac
1 1 1 1
direct
0.750 0.750 0.750 Tm
0.250 0.250 0.250 Sm
0.000 0.000 0.000 Ce
0.500 0.500 0.500 Ac
```

---

# 6
DFT (PBE-GGA) results for a relaxed structure of Ce4GaRh.

## Properties
- space-group type = C2/c, No. 15
- energy of formation from the pure elements (eV/atom) = -0.419

```
Ce4GaRh
1.0
-0.913 0.735 -5.754
0.681 -7.881 1.248
-6.081 3.185 3.187
Ce Rh Ga
8 2 2
direct
0.977 0.800 0.196 Ce
0.280 0.604 0.804 Ce
0.346 0.936 0.604 Ce
0.758 0.668 0.604 Ce
0.023 0.200 0.804 Ce
0.654 0.064 0.396 Ce
0.720 0.396 0.196 Ce
0.242 0.332 0.396 Ce
0.752 0.002 0.003 Rh
0.248 0.998 0.997 Rh
0.641 0.391 0.782 Ga
0.359 0.609 0.218 Ga
```

---

Q: Number 6 is which compound?
A: Ce4GaRh